# 1
Below is an optimized crystal structure of V3Cr2Fe2, with properties calculated at the PBE-GGA level.

```
V3Cr2Fe2
1.0
-0.1293 -0.8914 -2.8330
2.8354 0.2645 -0.2126
1.0578 -10.0812 1.5642
Cr Fe V
2 2 3
Cartesian
1.9421 -6.3706 -1.2035 Cr
1.8219 -4.3376 -0.2780 Cr
1.5079 -1.6425 -1.1117 Fe
2.2561 -9.0656 -0.3698 Fe
0.0000 0.0000 0.0000 V
0.1885 -3.6193 -1.9892 V
0.7400 -7.3534 0.7204 V
```

Values from the calculation:
DOS at the Fermi energy (states/eV per cell): 8.20
V (Å³/cell): 86.2
Space-group type: Cmmm
Calculated density (g cm⁻³): 7.1
E_form (eV per atom): 0.117
Energy (eV per atom): -8.958

---

# 2
Below is an optimized crystal structure of V8CrFe2, with properties calculated at the PBE-GGA level.

```
V8CrFe2
1.0
-2.2081 -0.5431 -3.9259
5.3331 -3.2510 -1.0314
-4.1603 -2.3059 4.1773
Fe Cr V
2 1 8
Cartesian
2.4119 -2.9602 0.5713 Fe
-1.2391 -2.5967 2.5746 Fe
-1.1041 -0.2715 -1.9630 Cr
1.1646 -1.2988 -0.3013 V
-1.0616 -1.0771 0.9201 V
-1.0189 -2.4522 -1.4121 V
2.1354 -3.3141 -1.8457 V
0.0263 -5.0229 -1.7002 V
-0.0164 -3.6479 0.6321 V
-2.1999 -4.8012 -0.4787 V
-3.1707 -2.7859 1.0656 V
```

Values from the calculation:
DOS at the Fermi energy (states/eV per cell): 12.50
V (Å³/cell): 146.4
Space-group type: C2/m
Calculated density (g cm⁻³): 6.5
E_form (eV per atom): 0.197
Energy (eV per atom): -8.849

---

# 3
Below is an optimized crystal structure of V6CrFe, with properties calculated at the PBE-GGA level.

```
V6CrFe
1.0
-1.1173 -2.3530 -3.1762
4.7537 -1.8550 -0.2979
-2.8034 -2.9032 3.1369
V Cr Fe
6 1 1
Cartesian
-1.9603 -2.6281 -0.0197 V
-0.9100 -2.6405 2.2763 V
1.8182 -2.1040 -1.7371 V
0.4893 -1.1939 0.7123 V
2.8602 -2.1176 0.5627 V
1.4609 -3.5643 2.1266 V
0.4165 -3.5556 -0.1687 Cr
-0.5586 -1.1765 -1.5881 Fe
```

Values from the calculation:
DOS at the Fermi energy (states/eV per cell): 11.69
V (Å³/cell): 100.9
Space-group type: Cmmm
Calculated density (g cm⁻³): 6.8
E above lowest polymorph (meV/atom): 0.0
E_form (eV per atom): -0.096
Energy (eV per atom): -9.196

---

# 4
Below is an optimized crystal structure of V5Cr2Fe, with properties calculated at the PBE-GGA level.

```
V5Cr2Fe
1.0
-3.1949 -4.9541 0.6895
3.5105 -2.8037 -3.8783
3.3820 2.2099 6.0052
V Cr Fe
10 4 2
Cartesian
0.0000 0.0000 0.0000 V
0.7739 -2.3464 3.8874 V
0.1578 -3.8789 -1.5944 V
-0.3748 -5.6093 0.6650 V
1.9292 -6.1602 -1.3925 V
4.0724 0.0613 2.1513 V
0.6197 -2.6506 0.9865 V
2.9237 -3.2016 -1.0711 V
3.0779 -2.8973 1.8298 V
1.7684 0.6122 4.2089 V
0.7737 -1.7166 -1.2705 Cr
-1.5513 -3.6127 -0.1221 Cr
-0.4581 -6.0412 -1.9183 Cr
1.8669 -4.1452 -3.0668 Cr
1.7699 -0.8345 2.2054 Fe
1.9277 -4.7134 0.6109 Fe
```

Values from the calculation:
DOS at the Fermi energy (states/eV per cell): 18.87
V (Å³/cell): 207.7
Space-group type: I4/mcm
Calculated density (g cm⁻³): 6.6
E_form (eV per atom): 0.210
Energy (eV per atom): -8.953

---

# 5
Below is an optimized crystal structure of V3CrFe, with properties calculated at the PBE-GGA level.

```
V3CrFe
1.0
2.6584 0.0000 0.8050
0.0000 4.1318 0.0000
-0.3473 0.0000 5.9387
V Cr Fe
3 1 1
Cartesian
0.4994 0.0000 3.1425 V
1.7260 2.0659 3.8838 V
1.0910 0.0000 5.9808 V
0.9686 2.0659 1.5933 Cr
-0.1441 2.0659 5.2675 Fe
```

Values from the calculation:
DOS at the Fermi energy (states/eV per cell): 4.38
V (Å³/cell): 66.4
Space-group type: Amm2
Calculated density (g cm⁻³): 6.5
E above lowest polymorph (meV/atom): 0.0
E_form (eV per atom): 0.311
Energy (eV per atom): -8.778

---

# 6
Below is an optimized crystal structure of V2CrFe4, with properties calculated at the PBE-GGA level.

```
V2CrFe4
1.0
-1.9909 3.0200 1.8812
-3.3509 -2.3162 0.1719
-0.9013 -1.8114 6.3722
V Fe Cr
2 4 1
Cartesian
-2.2419 -0.1726 2.3226 V
-4.0013 -0.9350 6.1027 V
-1.6755 -1.1581 0.0860 Fe
-0.9955 1.5100 0.9406 Fe
-4.6426 -0.1510 4.1655 Fe
-1.6006 -0.9566 4.2599 Fe
0.0000 0.0000 0.0000 Cr
```

Values from the calculation:
DOS at the Fermi energy (states/eV per cell): 10.04
V (Å³/cell): 100.3
Space-group type: I4/mmm
Calculated density (g cm⁻³): 6.2
E_form (eV per atom): 0.933
Energy (eV per atom): -7.883

---

# 7
Below is an optimized crystal structure of VCrFe, with properties calculated at the PBE-GGA level.

```
VCrFe
1.0
2.8861 -0.0004 -0.2206
0.0000 2.8945 -0.0051
0.6531 0.0153 8.5514
Fe V Cr
2 2 2
Cartesian
2.6309 0.8441 1.2793 Fe
1.2978 2.2942 2.8209 Fe
1.0817 2.2900 0.0105 V
2.8453 0.8502 4.0902 V
1.5163 2.3006 5.6969 Cr
3.0633 0.8556 6.9556 Cr
```

Values from the calculation:
DOS at the Fermi energy (states/eV per cell): 3.76
V (Å³/cell): 71.9
Space-group type: P4/nmm
Calculated density (g cm⁻³): 7.3
E above lowest polymorph (meV/atom): 0.0
E_form (eV per atom): -0.102
Energy (eV per atom): -9.170

---

# 8
Below is an optimized crystal structure of V4CrFe, with properties calculated at the PBE-GGA level.

```
V4CrFe
1.0
-1.7045 2.7359 2.5590
-3.0059 2.2260 -1.0724
-5.3918 -2.9066 2.8259
V Fe Cr
4 1 1
Cartesian
-6.1529 3.2570 2.3486 V
-6.4812 -0.6965 3.0470 V
-3.9493 -1.2017 1.9639 V
-3.6209 2.7518 1.2655 V
0.0000 0.0000 0.0000 Fe
-5.0511 1.0277 2.1563 Cr
```

Values from the calculation:
DOS at the Fermi energy (states/eV per cell): 5.90
V (Å³/cell): 86.7
Space-group type: C2/m
Calculated density (g cm⁻³): 6.0
E above lowest polymorph (meV/atom): 610.8
E_form (eV per atom): 0.478
Energy (eV per atom): -8.615

---

# 9
Below is an optimized crystal structure of VCr4Fe, with properties calculated at the PBE-GGA level.

```
VCr4Fe
1.0
4.7156 0.0000 0.0000
2.3578 4.0839 0.0000
2.3578 1.3613 3.8503
Fe Cr V
1 4 1
Cartesian
0.0000 0.0000 0.0000 Fe
5.8970 3.4046 2.4074 Cr
3.5343 3.4046 2.4074 Cr
4.7156 1.3585 2.4074 Cr
4.7156 2.7226 0.4783 Cr
2.3578 1.3613 0.9626 V
```

Values from the calculation:
DOS at the Fermi energy (states/eV per cell): 7.40
V (Å³/cell): 74.1
Space-group type: F-43m
Calculated density (g cm⁻³): 7.0
E_form (eV per atom): 0.168
Energy (eV per atom): -9.178

---

# 10
Below is an optimized crystal structure of V3CrFe, with properties calculated at the PBE-GGA level.

```
V3CrFe
1.0
4.2920 0.0000 0.0000
0.0000 4.2920 0.0000
0.0000 0.0000 4.2920
V Fe Cr
3 1 1
Cartesian
0.0000 2.1460 0.0000 V
0.0000 0.0000 2.1460 V
2.1460 0.0000 0.0000 V
0.0000 0.0000 0.0000 Fe
2.1460 2.1460 2.1460 Cr
```

Values from the calculation:
DOS at the Fermi energy (states/eV per cell): 8.41
V (Å³/cell): 79.1
Space-group type: Pm-3m
Calculated density (g cm⁻³): 5.5
E above lowest polymorph (meV/atom): 556.0
E_form (eV per atom): 0.867
Energy (eV per atom): -8.222

---

# 11
Below is an optimized crystal structure of VCr2Fe, with properties calculated at the PBE-GGA level.

```
VCr2Fe
1.0
6.4701 0.0000 0.0000
0.0000 6.4701 0.0000
3.2351 3.2351 2.3781
Fe Cr V
2 4 2
Cartesian
0.0000 0.0000 0.0000 Fe
6.4701 3.2351 1.1890 Fe
8.0877 8.2168 1.7835 Cr
4.9817 1.6175 0.5945 Cr
1.4884 4.8526 0.5945 Cr
4.8526 4.7235 1.7835 Cr
3.2351 6.4701 1.1890 V
3.2351 3.2351 0.0000 V
```

Values from the calculation:
DOS at the Fermi energy (states/eV per cell): 11.32
V (Å³/cell): 99.6
Space-group type: I-42d
Calculated density (g cm⁻³): 7.0
E above lowest polymorph (meV/atom): 534.8
E_form (eV per atom): 0.574
Energy (eV per atom): -8.633

---

# 12
Below is an optimized crystal structure of V2CrFe2, with properties calculated at the PBE-GGA level.

```
V2CrFe2
1.0
6.7367 0.0000 0.0000
0.0000 6.7367 0.0000
0.0000 0.0000 2.6649
V Cr Fe
4 2 4
Cartesian
2.3270 5.6953 0.0000 V
4.4097 1.0414 0.0000 V
5.6953 4.4097 0.0000 V
1.0414 2.3270 0.0000 V
0.0000 0.0000 0.0000 Cr
3.3684 3.3684 0.0000 Cr
5.7401 2.3718 1.3324 Fe
2.3718 0.9966 1.3324 Fe
4.3650 5.7401 1.3324 Fe
0.9966 4.3650 1.3324 Fe
```

Values from the calculation:
DOS at the Fermi energy (states/eV per cell): 8.04
V (Å³/cell): 120.9
Space-group type: P4/mbm
Calculated density (g cm⁻³): 7.3
E above lowest polymorph (meV/atom): 4.0
E_form (eV per atom): 0.167
Energy (eV per atom): -8.790

---

# 13
Below is an optimized crystal structure of V6CrFe5, with properties calculated at the PBE-GGA level.

```
V6CrFe5
1.0
-1.5040 0.7893 3.7006
2.6093 -6.5444 0.2129
4.1967 5.4049 -1.6907
V Fe Cr
6 5 1
Cartesian
3.7155 -2.2437 1.9839 V
4.2418 1.7182 1.3528 V
4.7321 -0.6575 -0.1815 V
0.5698 0.3073 2.4043 V
1.5865 1.8935 0.2389 V
1.0602 -2.0684 0.8701 V
3.1365 -2.5756 -0.4194 Fe
3.1783 3.7945 0.4790 Fe
2.6510 -0.1751 1.1114 Fe
2.1237 -4.1447 1.7438 Fe
3.6694 1.4360 -1.0584 Fe
0.0000 0.0000 0.0000 Cr
```

Values from the calculation:
DOS at the Fermi energy (states/eV per cell): 12.84
V (Å³/cell): 143.1
Space-group type: C2/m
Calculated density (g cm⁻³): 7.4
E_form (eV per atom): -0.136
Energy (eV per atom): -9.024

---

# 14
Below is an optimized crystal structure of V4CrFe2, with properties calculated at the PBE-GGA level.

```
V4CrFe2
1.0
4.1838 0.0000 0.0000
0.0000 4.1838 0.0000
2.0919 2.0919 5.9159
V Fe Cr
4 2 1
Cartesian
2.0919 2.0919 3.5617 V
4.1838 4.1838 2.3541 V
2.0919 0.0000 0.0000 V
0.0000 2.0919 0.0000 V
2.0919 2.0919 1.3974 Fe
4.1838 4.1838 4.5185 Fe
0.0000 0.0000 0.0000 Cr
```

Values from the calculation:
DOS at the Fermi energy (states/eV per cell): 8.88
V (Å³/cell): 103.6
Space-group type: I4/mmm
Calculated density (g cm⁻³): 5.9
E above lowest polymorph (meV/atom): 755.9
E_form (eV per atom): 0.867
Energy (eV per atom): -8.136

---

# 15
Below is an optimized crystal structure of VCr2Fe, with properties calculated at the PBE-GGA level.

```
VCr2Fe
1.0
-2.7170 -0.2175 0.3751
0.4302 -1.0531 2.5052
1.0103 6.8273 1.1856
V Cr Fe
1 2 1
Cartesian
-1.2380 3.7667 3.3069 V
-0.1274 5.9231 2.5118 Cr
-0.0227 1.0568 0.4481 Cr
-1.1954 1.7810 2.4648 Fe
```

Values from the calculation:
DOS at the Fermi energy (states/eV per cell): 4.20
V (Å³/cell): 50.9
Space-group type: I4mm
Calculated density (g cm⁻³): 6.9
E above lowest polymorph (meV/atom): 319.7
E_form (eV per atom): 0.358
Energy (eV per atom): -8.849

---

# 16
Below is an optimized crystal structure of V7Cr3Fe2, with properties calculated at the PBE-GGA level.

```
V7Cr3Fe2
1.0
4.0083 0.0000 0.0000
0.0000 4.0684 -0.8080
0.0000 -0.1471 9.9055
Fe V Cr
2 7 3
Cartesian
0.0000 0.5647 2.8433 Fe
0.0000 3.3566 6.2542 Fe
0.0000 2.3184 1.0269 V
0.0000 0.0000 0.0000 V
2.0041 0.2992 1.5065 V
0.0000 1.6029 8.0706 V
0.0000 2.8527 3.7172 V
0.0000 1.0686 5.3802 V
2.0041 3.6221 7.5909 V
2.0041 1.3147 6.6196 Cr
2.0041 2.0342 -0.4040 Cr
2.0041 2.6066 2.4778 Cr
```

Values from the calculation:
DOS at the Fermi energy (states/eV per cell): 14.31
V (Å³/cell): 161.1
Space-group type: Cmmm
Calculated density (g cm⁻³): 6.4
E_form (eV per atom): 0.304
Energy (eV per atom): -8.832

---

# 17
Below is an optimized crystal structure of VCrFe, with properties calculated at the PBE-GGA level.

```
VCrFe
1.0
2.5553 0.0000 0.0000
-1.2776 2.2130 0.0000
0.0000 0.0000 12.5960
Fe V Cr
2 2 2
Cartesian
0.0000 0.0000 5.9054 Fe
0.0000 0.0000 12.2034 Fe
0.0000 1.4753 3.7825 V
1.2776 0.7376 10.0805 V
1.2776 0.7376 1.5307 Cr
0.0000 1.4753 7.8287 Cr
```

Values from the calculation:
DOS at the Fermi energy (states/eV per cell): 9.00
V (Å³/cell): 71.2
Space-group type: P6_3mc
Calculated density (g cm⁻³): 7.4
E above lowest polymorph (meV/atom): 307.1
E_form (eV per atom): 0.205
Energy (eV per atom): -8.863

---

# 18
Below is an optimized crystal structure of V3Cr2Fe, with properties calculated at the PBE-GGA level.

```
V3Cr2Fe
1.0
2.8911 0.0000 0.0000
0.0000 2.8911 0.0000
0.0000 0.0000 8.7004
Fe V Cr
1 3 2
Cartesian
1.4456 1.4456 4.3502 Fe
0.0000 0.0000 5.8062 V
0.0000 0.0000 2.8942 V
0.0000 0.0000 0.0000 V
1.4456 1.4456 1.4725 Cr
1.4456 1.4456 7.2279 Cr
```

Values from the calculation:
DOS at the Fermi energy (states/eV per cell): 4.05
V (Å³/cell): 72.7
Space-group type: P4/mmm
Calculated density (g cm⁻³): 7.1
E_form (eV per atom): -0.138
Energy (eV per atom): -9.315

---

# 19
Below is an optimized crystal structure of V4Cr3Fe2, with properties calculated at the PBE-GGA level.

```
V4Cr3Fe2
1.0
-0.9050 -1.3947 -3.7129
2.2337 -2.9684 -1.6581
-4.5609 -5.1294 3.0385
V Fe Cr
4 2 3
Cartesian
-0.0539 -2.0129 -1.4594 V
-3.1783 -7.4796 -0.8731 V
-3.9585 -4.8289 -1.6786 V
0.7263 -4.6636 -0.6539 V
-0.1266 -4.0473 -2.9063 Fe
-3.1056 -5.4452 0.5737 Fe
-1.5956 -3.7469 -0.4323 Cr
-1.6366 -5.7456 -1.9002 Cr
0.0000 0.0000 0.0000 Cr
```

Values from the calculation:
DOS at the Fermi energy (states/eV per cell): 5.75
V (Å³/cell): 107.6
Space-group type: P-3m1
Calculated density (g cm⁻³): 7.3
E_form (eV per atom): -0.113
Energy (eV per atom): -9.255

---

# 20
Below is an optimized crystal structure of V4CrFe, with properties calculated at the PBE-GGA level.

```
V4CrFe
1.0
-0.4413 -2.5307 1.3651
2.1727 -1.1981 -1.5187
5.7050 2.3905 6.2760
V Cr Fe
4 1 1
Cartesian
1.9269 0.8074 2.1197 V
1.7968 -1.4743 0.9474 V
5.6397 0.1359 5.1749 V
3.7782 1.5831 4.1563 V
0.0000 0.0000 0.0000 Cr
3.7182 -0.6692 3.0612 Fe
```

Values from the calculation:
DOS at the Fermi energy (states/eV per cell): 4.57
V (Å³/cell): 74.6
Space-group type: P4/mmm
Calculated density (g cm⁻³): 6.9
E above lowest polymorph (meV/atom): 0.0
E_form (eV per atom): -0.133
Energy (eV per atom): -9.226